# 1
The following is a DFT calculation (PBE-GGA) of an optimized crystal structure of CeNdEuSn.

Values from the calculation:
**N(E_F)**: 2.66 states/eV/atom
**Final energy**: -6.472 eV/atom
**Formation energy from the elements**: -227 meV/atom

Lattice parameters (Å, degrees): 5.5657 5.5657 5.5657 60.00 60.00 60.00
Positions (direct):
Eu (0.5000, 0.5000, 0.5000)
Nd (0.7500, 0.7500, 0.7500)
Sn (0.0000, 0.0000, 0.0000)
Ce (0.2500, 0.2500, 0.2500)

# 2
The following is a DFT calculation (PBE-GGA) of an optimized crystal structure of LaMn3.

Values from the calculation:
**N(E_F)**: 1.14 states/eV/atom
**Final energy**: -7.562 eV/atom
**Formation energy from the elements**: 547 meV/atom

Lattice parameters (Å, degrees): 3.0435 4.8622 5.4048 98.34 90.00 71.76
Positions (direct):
La (0.0000, 0.0000, 0.0000)
Mn (0.2358, 0.5283, 0.3120)
Mn (0.5000, 0.0000, 0.5000)
Mn (0.7642, 0.4717, 0.6880)

# 3
The following is a DFT calculation (PBE-GGA) of an optimized crystal structure of Nb2CrRh2.

Values from the calculation:
**N(E_F)**: 1.18 states/eV/atom
**Final energy**: -8.825 eV/atom
**Formation energy from the elements**: 68 meV/atom

Lattice parameters (Å, degrees): 7.3251 7.3251 3.0355 90.00 90.00 90.00
Positions (direct):
Cr (0.0000, 0.0000, 0.0000)
Cr (0.5000, 0.5000, 0.0000)
Nb (0.1730, 0.6730, 0.5000)
Nb (0.6730, 0.8270, 0.5000)
Nb (0.8270, 0.3270, 0.5000)
Nb (0.3270, 0.1730, 0.5000)
Rh (0.3697, 0.8697, 0.0000)
Rh (0.8697, 0.6303, 0.0000)
Rh (0.6303, 0.1303, 0.0000)
Rh (0.1303, 0.3697, 0.0000)

# 4
The following is a DFT calculation (PBE-GGA) of an optimized crystal structure of Na2ZrGeS5.

Values from the calculation:
**Final energy**: -5.085 eV/atom
**Uncorrected formation energy**: -1.04 eV per atom

Lattice parameters (Å, degrees): 3.7072 9.0502 12.8145 90.00 90.00 101.82
Positions (direct):
Na (0.8791, 0.7583, 0.8280)
Na (0.0995, 0.1990, 0.6551)
Na (0.1209, 0.2417, 0.3280)
Na (0.9005, 0.8010, 0.1551)
Zr (0.7779, 0.5558, 0.5451)
Zr (0.2221, 0.4442, 0.0451)
Ge (0.5689, 0.1377, 0.9176)
Ge (0.4311, 0.8623, 0.4176)
S (0.3519, 0.7038, 0.0021)
S (0.6942, 0.3884, 0.8967)
S (0.5053, 0.0106, 0.7755)
S (0.2935, 0.5870, 0.6754)
S (0.9454, 0.8908, 0.5286)
S (0.6481, 0.2962, 0.5021)
S (0.3058, 0.6116, 0.3967)
S (0.4947, 0.9894, 0.2755)
S (0.7065, 0.4130, 0.1754)
S (0.0546, 0.1092, 0.0286)